DFT (PBE-GGA) results for a geometry-optimized Tc3BOs structure.

Properties
As for the volume: 13.1 Å³/atom. The energy above the lowest structure with this stoichiometry comes out at 0.00 eV per formula unit. The calculated formation energy comes out at -58 meV per atom. The total moment is 0.00 μB/cell. For the density of states at the Fermi level, the calculation gives 5.3 states/eV per cell.

Unit cell a=5.356 b=5.356 c=6.835 alpha=55.39 beta=55.39 gamma=64.82
Fractional positions:
Tc 0.459 0.960 0.814
Tc 0.960 0.459 0.814
Tc 0.541 0.040 0.186
Tc 0.040 0.541 0.186
Tc 0.445 0.445 0.362
Tc 0.555 0.555 0.638
Os 0.946 0.946 0.360
Os 0.054 0.054 0.640
B 0.752 0.752 0.998
B 0.248 0.248 0.002



DFT (PBE-GGA) results for a geometry-optimized Fe8Tc3Ru structure.

Properties
As for the volume: 11.9 Å³/atom. The calculated formation energy comes out at 49 meV per atom. The total moment is 9.83 μB/cell. For the density of states at the Fermi level, the calculation gives 12.5 states/eV per cell.

Unit cell a=4.652 b=4.652 c=7.614 alpha=90.00 beta=90.00 gamma=120.00
Each line ends with the local moment (μB).
Fractional positions:
Tc 0.667 0.333 0.064  -0.18
Tc 0.000 0.000 0.937  -0.28
Tc 0.667 0.333 0.436  -0.36
Fe 0.995 0.497 0.750  1.51
Fe 0.673 0.836 0.250  1.38
Fe 0.333 0.667 0.002  0.86
Fe 0.503 0.497 0.750  1.51
Fe 0.164 0.836 0.250  1.38
Fe 0.333 0.667 0.500  1.10
Fe 0.164 0.327 0.250  1.38
Fe 0.503 0.005 0.750  1.51
Ru 0.000 0.000 0.561  0.05



DFT (PBE-GGA) results for a geometry-optimized HgRuW2 structure.

Properties
As for the volume: 17.0 Å³/atom. The energy above the lowest structure with this stoichiometry comes out at 0.85 eV per formula unit. The calculated formation energy comes out at 626 meV per atom. The total moment is 0.00 μB/cell. For the density of states at the Fermi level, the calculation gives 2.8 states/eV per cell.

Unit cell a=5.556 b=5.556 c=5.556 alpha=148.92 beta=129.18 gamma=60.78
Fractional positions:
Ru 0.225 0.725 0.500
W 0.776 0.276 0.500
W 0.008 0.008 0.000
Hg 0.491 0.491 0.000



DFT (PBE-GGA) results for a geometry-optimized CeLuRhAu structure.

Properties
As for the volume: 22.0 Å³/atom. The calculated formation energy comes out at -726 meV per atom. The total moment is 0.55 μB/cell. For the density of states at the Fermi level, the calculation gives 6.5 states/eV per cell.

Unit cell a=4.989 b=4.989 c=4.989 alpha=60.00 beta=60.00 gamma=60.00
Each line ends with the local moment (μB).
Fractional positions:
Rh 0.250 0.250 0.250  -0.04
Ce 0.500 0.500 0.500  0.51
Au 0.750 0.750 0.750  0.00
Lu 0.000 0.000 0.000  0.02



DFT (PBE-GGA) results for a geometry-optimized LaNiB2N structure.

Properties
As for the volume: 13.4 Å³/atom. The total moment is 0.00 μB/cell. As for the formation energy from raw total energies: 0.977 eV/atom. For the density of states at the Fermi level, the calculation gives 3.2 states/eV per cell.

Unit cell a=4.293 b=3.635 c=4.293 alpha=90.00 beta=90.00 gamma=90.00
Fractional positions:
B 0.500 0.000 0.000
B 0.000 0.000 0.500
La 0.500 0.500 0.500
N 0.000 0.000 0.000
Ni 0.000 0.500 0.000



DFT (PBE-GGA) results for a geometry-optimized NdTm2ThSc4 structure.

Properties
As for the volume: 28.0 Å³/atom. The calculated formation energy comes out at 42 meV per atom. The total moment is 0.00 μB/cell. For the density of states at the Fermi level, the calculation gives 11.8 states/eV per cell.

Unit cell a=4.968 b=4.976 c=10.342 alpha=61.28 beta=90.00 gamma=90.00
Fractional positions:
Nd 0.500 0.500 0.000
Sc 0.500 0.746 0.254
Sc 0.000 0.754 0.746
Sc 0.000 0.246 0.254
Sc 0.500 0.254 0.746
Tm 0.000 0.000 0.000
Tm 0.500 0.000 0.500
Th 0.000 0.500 0.500



DFT (PBE-GGA) results for a geometry-optimized Zn3CdCu structure.

Properties
As for the volume: 16.3 Å³/atom. The energy above the lowest structure with this stoichiometry comes out at 0.00 eV per formula unit. The calculated formation energy comes out at 15 meV per atom. The total moment is 0.00 μB/cell. For the density of states at the Fermi level, the calculation gives 2.8 states/eV per cell.

Unit cell a=5.017 b=5.158 c=6.821 alpha=112.22 beta=90.00 gamma=90.00
Fractional positions:
Zn 0.250 0.401 0.300
Zn 0.250 0.824 0.648
Zn 0.750 0.599 0.700
Zn 0.750 0.101 0.700
Zn 0.250 0.899 0.300
Zn 0.750 0.176 0.352
Cu 0.000 0.000 0.000
Cu 0.500 0.000 0.000
Cd 0.250 0.424 0.847
Cd 0.750 0.576 0.153



DFT (PBE-GGA) results for a geometry-optimized ReSnIN2 structure.

Properties
As for the volume: 22.0 Å³/atom. The energy above the lowest structure with this stoichiometry comes out at 6.26 eV per formula unit. The total moment is 5.07 μB/cell. As for the formation energy from raw total energies: 2.151 eV/atom. For the density of states at the Fermi level, the calculation gives 2.7 states/eV per cell.

Unit cell a=4.064 b=4.064 c=6.672 alpha=90.00 beta=90.00 gamma=90.00
Each line ends with the local moment (μB).
Fractional positions:
I 0.000 0.000 0.500  0.01
N 0.500 0.000 0.000  0.50
N 0.000 0.500 0.000  0.50
Sn 0.000 0.000 0.000  -0.03
Re 0.500 0.500 0.500  3.05



Copy entry 7 word for word.
DFT (PBE-GGA) results for a geometry-optimized Zn3CdCu structure.

Properties
As for the volume: 16.3 Å³/atom. The energy above the lowest structure with this stoichiometry comes out at 0.00 eV per formula unit. The calculated formation energy comes out at 15 meV per atom. The total moment is 0.00 μB/cell. For the density of states at the Fermi level, the calculation gives 2.8 states/eV per cell.

Unit cell a=5.017 b=5.158 c=6.821 alpha=112.22 beta=90.00 gamma=90.00
Fractional positions:
Zn 0.250 0.401 0.300
Zn 0.250 0.824 0.648
Zn 0.750 0.599 0.700
Zn 0.750 0.101 0.700
Zn 0.250 0.899 0.300
Zn 0.750 0.176 0.352
Cu 0.000 0.000 0.000
Cu 0.500 0.000 0.000
Cd 0.250 0.424 0.847
Cd 0.750 0.576 0.153